Run P
Crystalline VBRh at its relaxed geometry, computed with PBE.

Geometry as POSCAR:
```
VBRh
1.0
2.942 0.000 0.000
-1.471 4.450 0.000
0.000 0.000 5.194
Rh B V
2 2 2
direct
0.000 0.000 0.000
0.000 0.000 0.500
0.611 0.222 0.250
0.389 0.778 0.750
0.287 0.574 0.250
0.713 0.426 0.750
```

Calculated values
* space group: Cmcm, No. 63
* DOS(E_F): 1.07 states/eV/atom

Run Q
Crystalline VBRh at its relaxed geometry, computed with PBE.

Geometry as POSCAR:
```
VBRh
1.0
2.666 0.000 0.000
0.000 2.666 0.000
-1.333 -1.333 4.663
B Rh V
1 1 1
direct
0.676 0.676 0.352
0.303 0.303 0.606
0.021 0.021 0.042
```

Calculated values
* space group: I4mm, No. 107
* DOS(E_F): 0.60 states/eV/atom

The most stable arrangement is run P, and the next structure is 69 meV per atom less stable.

Run P
Crystalline VB2Rh at its relaxed geometry, computed with PBE.

Geometry as POSCAR:
```
VB2Rh
1.0
3.190 0.000 0.000
1.595 2.763 0.000
1.595 0.921 4.641
B Rh V
2 1 1
direct
0.251 0.251 0.246
0.749 0.749 0.754
0.000 0.000 0.000
0.500 0.500 0.500
```

Calculated values
* space group: R-3m, No. 166
* DOS(E_F): 0.25 states/eV/atom

Run Q
Crystalline VB2Rh at its relaxed geometry, computed with PBE.

Geometry as POSCAR:
```
VB2Rh
1.0
4.349 0.000 0.000
0.000 4.349 0.000
2.175 2.175 5.453
B Rh V
4 2 2
direct
0.654 0.125 0.250
0.096 0.625 0.250
0.375 0.346 0.750
0.875 0.904 0.750
0.000 0.000 0.000
0.750 0.250 0.500
0.500 0.500 0.000
0.250 0.750 0.500
```

Calculated values
* space group: I-42d, No. 122
* DOS(E_F): 0.77 states/eV/atom

The most stable arrangement is run P, and the next structure is 702 meV per atom less stable.

Run P
Crystalline B3RhW at its relaxed geometry, computed with PBE.

Geometry as POSCAR:
```
B3RhW
1.0
3.934 0.000 0.000
0.000 3.934 0.000
0.000 0.000 3.934
B Rh W
3 1 1
direct
0.000 0.500 0.000
0.000 0.000 0.500
0.500 0.000 0.000
0.000 0.000 0.000
0.500 0.500 0.500
```

Calculated values
* space group: Pm-3m, No. 221
* DOS(E_F): 0.73 states/eV/atom

Run Q
Crystalline B3RhW at its relaxed geometry, computed with PBE.

Geometry as POSCAR:
```
B3RhW
1.0
4.106 0.000 0.000
0.000 4.106 0.000
0.000 0.000 4.106
B Rh W
3 1 1
direct
0.000 0.500 0.000
0.000 0.000 0.500
0.500 0.000 0.000
0.500 0.500 0.500
0.000 0.000 0.000
```

Calculated values
* space group: Pm-3m, No. 221
* DOS(E_F): 0.61 states/eV/atom

The most stable arrangement is run Q, and the next structure is 53 meV per atom less stable.

Run P
Crystalline BRh3W at its relaxed geometry, computed with PBE.

Geometry as POSCAR:
```
BRh3W
1.0
4.697 0.000 0.000
0.000 4.697 0.000
0.000 0.000 4.697
B Rh W
1 3 1
direct
0.500 0.500 0.500
0.000 0.500 0.000
0.000 0.000 0.500
0.500 0.000 0.000
0.000 0.000 0.000
```

Calculated values
* space group: Pm-3m, No. 221
* DOS(E_F): 0.74 states/eV/atom

Run Q
Crystalline BRh3W at its relaxed geometry, computed with PBE.

Geometry as POSCAR:
```
BRh3W
1.0
-1.775 -0.285 3.670
-2.351 -3.048 -1.374
2.832 -2.708 1.160
B Rh W
1 3 1
direct
0.000 0.000 0.000
0.000 0.500 0.000
0.000 0.000 0.500
0.500 0.000 0.000
0.500 0.500 0.500
```

Calculated values
* space group: Pm-3m, No. 221
* DOS(E_F): 0.66 states/eV/atom

The most stable arrangement is run Q, and the next structure is 1868 meV per atom less stable.

Run P
Crystalline YB3Rh at its relaxed geometry, computed with PBE.

Geometry as POSCAR:
```
YB3Rh
1.0
4.382 0.000 0.000
0.000 4.382 0.000
0.000 0.000 4.382
Y B Rh
1 3 1
direct
0.000 0.000 0.000
0.000 0.500 0.000
0.000 0.000 0.500
0.500 0.000 0.000
0.500 0.500 0.500
```

Calculated values
* space group: Pm-3m, No. 221
* DOS(E_F): 0.90 states/eV/atom

Run Q
Crystalline YB3Rh at its relaxed geometry, computed with PBE.

Geometry as POSCAR:
```
YB3Rh
1.0
-2.148 -2.488 2.409
-2.039 -1.382 -3.247
2.799 -2.917 -0.516
Y B Rh
1 3 1
direct
0.500 0.500 0.500
0.000 0.500 0.000
0.000 0.000 0.500
0.500 0.000 0.000
0.000 0.000 0.000
```

Calculated values
* space group: Pm-3m, No. 221
* DOS(E_F): 1.27 states/eV/atom

The most stable arrangement is run Q, and the next structure is 2104 meV per atom less stable.

Run P
Crystalline ZnBRh at its relaxed geometry, computed with PBE.

Geometry as POSCAR:
```
ZnBRh
1.0
-2.147 -2.388 -1.532
1.770 0.334 -3.000
0.983 -2.395 2.354
Zn B Rh
1 1 1
direct
0.366 0.333 0.667
0.775 0.000 0.000
0.859 0.667 0.333
```

Calculated values
* space group: P3m1, No. 156
* DOS(E_F): 0.22 states/eV/atom

Run Q
Crystalline ZnBRh at its relaxed geometry, computed with PBE.

Geometry as POSCAR:
```
ZnBRh
1.0
-3.718 0.917 -3.057
-2.770 -1.638 2.878
1.892 2.885 2.491
Zn Rh B
2 2 2
direct
0.586 0.278 0.172
0.414 0.722 0.828
0.188 0.160 0.376
0.812 0.840 0.624
0.913 0.328 0.826
0.087 0.672 0.174
```

Calculated values
* space group: C2/m, No. 12
* DOS(E_F): 0.48 states/eV/atom

Run R
Crystalline ZnBRh at its relaxed geometry, computed with PBE.

Geometry as POSCAR:
```
ZnBRh
1.0
-1.903 0.463 -1.758
-0.072 -2.562 -0.597
-3.086 0.188 5.361
Zn B Rh
1 1 1
direct
0.745 0.745 0.489
0.134 0.134 0.268
0.971 0.971 0.943
```

Calculated values
* space group: I4mm, No. 107
* DOS(E_F): 0.51 states/eV/atom

Run S
Crystalline ZnBRh at its relaxed geometry, computed with PBE.

Geometry as POSCAR:
```
ZnBRh
1.0
3.704 0.000 0.000
1.852 3.208 0.000
1.852 1.069 3.024
Zn B Rh
1 1 1
direct
0.000 0.000 0.000
0.250 0.250 0.250
0.500 0.500 0.500
```

Calculated values
* space group: F-43m, No. 216
* DOS(E_F): 0.26 states/eV/atom

The most stable arrangement is run P, and the next structure is 32 meV per atom less stable.

Run P
Crystalline ZnB3Rh at its relaxed geometry, computed with PBE.

Geometry as POSCAR:
```
ZnB3Rh
1.0
-2.844 2.136 1.572
-2.162 -0.532 -3.188
-1.536 -3.205 1.577
Zn B Rh
1 3 1
direct
0.000 0.000 0.000
0.000 0.500 0.000
0.000 0.000 0.500
0.500 0.000 0.000
0.500 0.500 0.500
```

Calculated values
* space group: Pm-3m, No. 221
* DOS(E_F): 0.37 states/eV/atom

Run Q
Crystalline ZnB3Rh at its relaxed geometry, computed with PBE.

Geometry as POSCAR:
```
ZnB3Rh
1.0
4.108 0.000 0.000
0.000 4.108 0.000
0.000 0.000 4.108
Zn B Rh
1 3 1
direct
0.500 0.500 0.500
0.000 0.500 0.000
0.000 0.000 0.500
0.500 0.000 0.000
0.000 0.000 0.000
```

Calculated values
* space group: Pm-3m, No. 221
* DOS(E_F): 0.41 states/eV/atom

The most stable arrangement is run Q, and the next structure is 803 meV per atom less stable.

Run P
Crystalline ZnBRh3 at its relaxed geometry, computed with PBE.

Geometry as POSCAR:
```
ZnBRh3
1.0
-0.827 -2.965 -3.280
4.055 0.823 -1.766
1.764 -3.281 2.521
Zn B Rh
1 1 3
direct
0.000 0.000 0.000
0.500 0.500 0.500
0.000 0.500 0.000
0.000 0.000 0.500
0.500 0.000 0.000
```

Calculated values
* space group: Pm-3m, No. 221
* DOS(E_F): 2.06 states/eV/atom

Run Q
Crystalline ZnBRh3 at its relaxed geometry, computed with PBE.

Geometry as POSCAR:
```
ZnBRh3
1.0
4.074 0.000 0.000
0.000 4.074 0.000
0.000 0.000 4.074
Zn B Rh
1 1 3
direct
0.500 0.500 0.500
0.000 0.000 0.000
0.000 0.500 0.000
0.000 0.000 0.500
0.500 0.000 0.000
```

Calculated values
* space group: Pm-3m, No. 221
* DOS(E_F): 0.68 states/eV/atom

The most stable arrangement is run Q, and the next structure is 2070 meV per atom less stable.

Run P
Crystalline ZnBRh3 at its relaxed geometry, computed with PBE.

Geometry as POSCAR:
```
ZnBRh3
1.0
-4.270 -3.395 0.855
5.129 -1.843 0.890
-0.538 3.163 4.228
Zn B Rh
2 2 6
direct
0.775 0.275 0.531
0.225 0.725 0.469
0.656 0.844 0.000
0.344 0.156 0.000
0.231 0.731 0.973
0.769 0.269 0.027
0.077 0.065 0.271
0.435 0.423 0.729
0.923 0.935 0.729
0.565 0.577 0.271
```

Calculated values
* space group: C2/m, No. 12
* DOS(E_F): 0.65 states/eV/atom

Run Q
Crystalline ZnBRh3 at its relaxed geometry, computed with PBE.

Geometry as POSCAR:
```
ZnBRh3
1.0
-2.248 -3.715 -1.977
-0.528 -2.389 5.089
-4.025 3.460 -1.926
Zn B Rh
2 2 6
direct
0.250 0.333 0.667
0.750 0.667 0.333
0.000 0.000 0.000
0.500 0.000 0.000
0.250 0.826 0.174
0.750 0.174 0.826
0.250 0.826 0.652
0.750 0.174 0.348
0.250 0.348 0.174
0.750 0.652 0.826
```

Calculated values
* space group: P6_3/mmc, No. 194
* DOS(E_F): 1.00 states/eV/atom

The most stable arrangement is run Q, and the next structure is 47 meV per atom less stable.

Run P
Crystalline ZrB2Rh at its relaxed geometry, computed with PBE.

Geometry as POSCAR:
```
ZrB2Rh
1.0
-1.551 0.317 3.522
-1.107 -3.696 -0.154
5.025 -3.717 4.664
B Rh Zr
4 2 2
direct
0.875 0.125 0.250
0.875 0.625 0.250
0.375 0.125 0.750
0.875 0.125 0.750
0.000 0.000 0.000
0.750 0.250 0.500
0.500 0.500 0.000
0.250 0.750 0.500
```

Calculated values
* space group: I4_1/amd, No. 141
* DOS(E_F): 0.53 states/eV/atom

Run Q
Crystalline ZrB2Rh at its relaxed geometry, computed with PBE.

Geometry as POSCAR:
```
ZrB2Rh
1.0
0.000 2.874 2.874
2.874 0.000 2.874
2.874 2.874 0.000
B Rh Zr
2 1 1
direct
0.250 0.250 0.250
0.750 0.750 0.750
0.500 0.500 0.500
0.000 0.000 0.000
```

Calculated values
* space group: Fm-3m, No. 225
* DOS(E_F): 2.00 states/eV/atom

The most stable arrangement is run P, and the next structure is 180 meV per atom less stable.

Run P
Crystalline B3Ru2 at its relaxed geometry, computed with PBE.

Geometry as POSCAR:
```
B3Ru2
1.0
2.659 0.000 1.256
0.768 3.778 1.816
-0.376 -0.248 4.238
B Ru
3 2
direct
0.000 0.000 0.000
0.500 0.288 0.712
0.500 0.712 0.288
0.773 0.727 0.727
0.227 0.273 0.273
```

Calculated values
* space group: Immm, No. 71
* DOS(E_F): 0.56 states/eV/atom

Run Q
Crystalline B3Ru2 at its relaxed geometry, computed with PBE.

Geometry as POSCAR:
```
B3Ru2
1.0
2.925 0.000 0.000
-1.463 2.533 0.000
0.000 0.000 12.835
B Ru
6 4
direct
0.667 0.333 0.250
0.333 0.667 0.750
0.333 0.667 0.531
0.667 0.333 0.031
0.333 0.667 0.969
0.667 0.333 0.469
0.333 0.667 0.360
0.667 0.333 0.860
0.667 0.333 0.640
0.333 0.667 0.140
```

Calculated values
* space group: P6_3/mmc, No. 194
* DOS(E_F): 0.08 states/eV/atom

The most stable arrangement is run Q, and the next structure is 377 meV per atom less stable.

Run P
Crystalline B3SbRu at its relaxed geometry, computed with PBE.

Geometry as POSCAR:
```
B3SbRu
1.0
4.157 0.000 0.000
0.000 4.157 0.000
0.000 0.000 4.157
Sb B Ru
1 3 1
direct
0.500 0.500 0.500
0.000 0.500 0.000
0.000 0.000 0.500
0.500 0.000 0.000
0.000 0.000 0.000
```

Calculated values
* space group: Pm-3m, No. 221
* DOS(E_F): 1.18 states/eV/atom

Run Q
Crystalline B3SbRu at its relaxed geometry, computed with PBE.

Geometry as POSCAR:
```
B3SbRu
1.0
4.385 0.000 0.000
0.000 4.385 0.000
0.000 0.000 4.385
Sb B Ru
1 3 1
direct
0.000 0.000 0.000
0.000 0.500 0.000
0.000 0.000 0.500
0.500 0.000 0.000
0.500 0.500 0.500
```

Calculated values
* space group: Pm-3m, No. 221
* DOS(E_F): 1.02 states/eV/atom

The most stable arrangement is run P, and the next structure is 1394 meV per atom less stable.